1.
Density functional theory data (PBE-GGA) for K2MnI2Cl2 after structural relaxation.

E_form (uncorrected) = -1292 meV/atom
VASP energy = -3.886 eV per atom

Lattice parameters (Å, degrees): 7.945 7.945 8.259 119.20 119.20 32.67
Positions (direct):
K: 0.166 0.166 0.202
K: 0.834 0.834 0.798
Mn: 0.000 0.000 0.500
I: 0.462 0.462 0.215
I: 0.538 0.538 0.785
Cl: 0.176 0.176 0.596
Cl: 0.824 0.824 0.404

---

2.
Density functional theory data (PBE-GGA) for Sr2AlIn after structural relaxation.

Distance to the lowest polymorph of the same formula = 32 meV/atom
VASP energy = -2.716 eV per atom

Lattice parameters (Å, degrees): 5.669 5.669 5.669 60.00 60.00 60.00
Positions (direct):
Sr: 0.250 0.250 0.250
Sr: 0.750 0.750 0.750
Al: 0.000 0.000 0.000
In: 0.500 0.500 0.500

---

3.
Density functional theory data (PBE-GGA) for Zn2GaPd6 after structural relaxation.

VASP energy = -4.400 eV per atom

Lattice parameters (Å, degrees): 7.164 7.164 4.165 106.66 106.66 48.35
Positions (direct):
Zn: 0.167 0.167 0.167
Zn: 0.833 0.833 0.833
Ga: 0.500 0.500 0.500
Pd: 0.085 0.584 0.335
Pd: 0.253 0.747 0.000
Pd: 0.416 0.915 0.665
Pd: 0.584 0.085 0.335
Pd: 0.747 0.253 0.000
Pd: 0.915 0.416 0.665

---

4.
Density functional theory data (PBE-GGA) for LaPaPdN3 after structural relaxation.

E_form (uncorrected) = -1062 meV/atom
VASP energy = -8.494 eV per atom

Lattice parameters (Å, degrees): 6.720 3.703 8.961 90.00 107.99 90.00
Positions (direct):
La: 0.024 0.250 0.294
La: 0.976 0.750 0.706
Pa: 0.475 0.250 0.667
Pa: 0.525 0.750 0.333
Pd: 0.326 0.250 0.992
Pd: 0.674 0.750 0.008
N: 0.204 0.250 0.751
N: 0.311 0.750 0.490
N: 0.342 0.250 0.219
N: 0.658 0.750 0.781
N: 0.689 0.250 0.510
N: 0.796 0.750 0.249

---

5.
Density functional theory data (PBE-GGA) for PmZn2Cu4Ge after structural relaxation.

VASP energy = -3.656 eV per atom

Lattice parameters (Å, degrees): 8.985 8.985 8.985 26.91 26.91 26.91
Positions (direct):
Pm: 0.000 0.000 0.000
Zn: 0.248 0.248 0.248
Zn: 0.752 0.752 0.752
Cu: 0.129 0.129 0.129
Cu: 0.406 0.406 0.406
Cu: 0.594 0.594 0.594
Cu: 0.871 0.871 0.871
Ge: 0.500 0.500 0.500

---

6.
Density functional theory data (PBE-GGA) for Ag4Te2Br after structural relaxation.

E_form (uncorrected) = -29 meV/atom
Distance to the lowest polymorph of the same formula = 7 meV/atom
VASP energy = -2.795 eV per atom

Lattice parameters (Å, degrees): 8.140 8.282 8.379 62.47 62.04 61.32
Positions (direct):
Ag: 0.220 0.258 0.259
Ag: 0.238 0.739 0.742
Ag: 0.241 0.278 0.743
Ag: 0.241 0.742 0.276
Ag: 0.759 0.258 0.724
Ag: 0.759 0.722 0.257
Ag: 0.762 0.261 0.258
Ag: 0.780 0.742 0.741
Te: 0.000 0.000 0.500
Te: 0.000 0.500 0.000
Te: 0.000 0.500 0.500
Te: 0.500 0.500 0.500
Br: 0.372 0.878 0.884
Br: 0.628 0.122 0.116